# 1
The following is a GGA-PBE calculation of crystalline TbTl2Pd6 at its relaxed geometry, from the Alexandria database.

abc: 5.0526 5.0526 8.6109
angles: 103.16 103.16 50.17
Sites, in units of the cell vectors:
Tb  0.0000  0.0000  0.0000
Tl  0.3050  0.3050  0.7515
Tl  0.6950  0.6950  0.2485
Pd  0.0159  0.0159  0.3349
Pd  0.3401  0.3401  0.1105
Pd  0.3457  0.3457  0.4433
Pd  0.6543  0.6543  0.5567
Pd  0.6599  0.6599  0.8895
Pd  0.9841  0.9841  0.6651

Computed properties:
- Formation enthalpy at 0 K: -0.40 eV/atom

---

# 2
The following is a GGA-PBE calculation of crystalline Tb11Tl9Pd4 at its relaxed geometry, from the Alexandria database.

abc: 13.3693 13.3693 3.7203
angles: 90.00 90.00 112.75
Sites, in units of the cell vectors:
Tb  0.0000  0.0000  0.0000
Tb  0.0756  0.4145  0.0000
Tb  0.1616  0.8384  0.0000
Tb  0.3082  0.3082  0.0000
Tb  0.3722  0.6278  0.0000
Tb  0.4145  0.0756  0.0000
Tb  0.5855  0.9244  0.0000
Tb  0.6278  0.3722  0.0000
Tb  0.6918  0.6918  0.0000
Tb  0.8384  0.1616  0.0000
Tb  0.9244  0.5855  0.0000
Tl  0.0691  0.2154  0.5000
Tl  0.1528  0.6309  0.5000
Tl  0.2154  0.0691  0.5000
Tl  0.3691  0.8472  0.5000
Tl  0.5000  0.5000  0.5000
Tl  0.6309  0.1528  0.5000
Tl  0.7846  0.9309  0.5000
Tl  0.8472  0.3691  0.5000
Tl  0.9309  0.7846  0.5000
Pd  0.2480  0.4492  0.5000
Pd  0.4492  0.2480  0.5000
Pd  0.5508  0.7520  0.5000
Pd  0.7520  0.5508  0.5000

Computed properties:
- Formation enthalpy at 0 K: -0.56 eV/atom

---

# 3
The following is a GGA-PBE calculation of crystalline Tb2TlPd9 at its relaxed geometry, from the Alexandria database.

abc: 4.1275 4.1275 12.3078
angles: 90.00 90.00 90.00
Sites, in units of the cell vectors:
Tb  0.0000  0.0000  0.1692
Tb  0.0000  0.0000  0.8308
Tl  0.0000  0.0000  0.5000
Pd  0.0000  0.5000  0.0000
Pd  0.0000  0.5000  0.3354
Pd  0.0000  0.5000  0.6646
Pd  0.5000  0.0000  0.0000
Pd  0.5000  0.0000  0.3354
Pd  0.5000  0.0000  0.6646
Pd  0.5000  0.5000  0.1673
Pd  0.5000  0.5000  0.5000
Pd  0.5000  0.5000  0.8327

Computed properties:
- Formation enthalpy at 0 K: -0.65 eV/atom

---

# 4
The following is a GGA-PBE calculation of crystalline Tb4Tl5Pd2 at its relaxed geometry, from the Alexandria database.

abc: 7.9533 3.6784 9.7344
angles: 90.00 94.11 90.00
Sites, in units of the cell vectors:
Tb  0.1935  0.0000  0.3485
Tb  0.2165  0.0000  0.9270
Tb  0.7835  0.0000  0.0730
Tb  0.8065  0.0000  0.6515
Tl  0.1502  0.5000  0.6370
Tl  0.4568  0.5000  0.1652
Tl  0.5000  0.5000  0.5000
Tl  0.5432  0.5000  0.8348
Tl  0.8498  0.5000  0.3630
Pd  0.0783  0.5000  0.1339
Pd  0.9217  0.5000  0.8661

Computed properties:
- Formation enthalpy at 0 K: -0.50 eV/atom

---

# 5
The following is a GGA-PBE calculation of crystalline TbTl2Pd9 at its relaxed geometry, from the Alexandria database.

abc: 4.0957 4.0957 12.3566
angles: 90.00 90.00 90.00
Sites, in units of the cell vectors:
Tb  0.0000  0.0000  0.0000
Tl  0.0000  0.0000  0.3369
Tl  0.0000  0.0000  0.6631
Pd  0.0000  0.5000  0.1689
Pd  0.0000  0.5000  0.5000
Pd  0.0000  0.5000  0.8311
Pd  0.5000  0.0000  0.1689
Pd  0.5000  0.0000  0.5000
Pd  0.5000  0.0000  0.8311
Pd  0.5000  0.5000  0.0000
Pd  0.5000  0.5000  0.3325
Pd  0.5000  0.5000  0.6675

Computed properties:
- Formation enthalpy at 0 K: -0.42 eV/atom

---

# 6
The following is a GGA-PBE calculation of crystalline Tb8TlPd2 at its relaxed geometry, from the Alexandria database.

abc: 8.1093 8.1093 5.5122
angles: 98.56 98.56 115.06
Sites, in units of the cell vectors:
Tb  0.0830  0.3306  0.5790
Tb  0.2414  0.7586  0.0000
Tb  0.3306  0.0830  0.5790
Tb  0.3936  0.3936  0.1919
Tb  0.6064  0.6064  0.8081
Tb  0.6694  0.9170  0.4210
Tb  0.7586  0.2414  0.0000
Tb  0.9170  0.6694  0.4210
Tl  0.0000  0.0000  0.0000
Pd  0.3025  0.6975  0.5000
Pd  0.6975  0.3025  0.5000

Computed properties:
- Formation enthalpy at 0 K: -0.30 eV/atom

---

# 7
The following is a GGA-PBE calculation of crystalline TbTl2Pd7 at its relaxed geometry, from the Alexandria database.

abc: 8.1166 8.1166 4.2717
angles: 90.00 90.00 125.95
Sites, in units of the cell vectors:
Tb  0.0000  0.0000  0.0000
Tl  0.3048  0.6952  0.5000
Tl  0.6952  0.3048  0.5000
Pd  0.0830  0.2831  0.5000
Pd  0.1889  0.8111  0.0000
Pd  0.2831  0.0830  0.5000
Pd  0.5000  0.5000  0.5000
Pd  0.7169  0.9170  0.5000
Pd  0.8111  0.1889  0.0000
Pd  0.9170  0.7169  0.5000

Computed properties:
- Formation enthalpy at 0 K: -0.06 eV/atom

---

# 8
The following is a GGA-PBE calculation of crystalline TbTlPd4 at its relaxed geometry, from the Alexandria database.

abc: 5.4130 5.4130 5.4130
angles: 60.00 60.00 60.00
Sites, in units of the cell vectors:
Tb  0.0000  0.0000  0.0000
Tl  0.7500  0.7500  0.7500
Pd  0.3752  0.3752  0.3752
Pd  0.3752  0.3752  0.8744
Pd  0.3752  0.8744  0.3752
Pd  0.8744  0.3752  0.3752

Computed properties:
- Formation enthalpy at 0 K: -0.59 eV/atom
- Polymorph energy (0 for the lowest one): 0 meV/atom

---

# 9
The following is a GGA-PBE calculation of crystalline Tb3TlPd12 at its relaxed geometry, from the Alexandria database.

abc: 4.1285 4.1285 16.4428
angles: 90.00 90.00 90.00
Sites, in units of the cell vectors:
Tb  0.0000  0.0000  0.0000
Tb  0.0000  0.0000  0.2523
Tb  0.0000  0.0000  0.7477
Tl  0.0000  0.0000  0.5000
Pd  0.0000  0.5000  0.1256
Pd  0.0000  0.5000  0.3768
Pd  0.0000  0.5000  0.6232
Pd  0.0000  0.5000  0.8744
Pd  0.5000  0.0000  0.1256
Pd  0.5000  0.0000  0.3768
Pd  0.5000  0.0000  0.6232
Pd  0.5000  0.0000  0.8744
Pd  0.5000  0.5000  0.0000
Pd  0.5000  0.5000  0.2513
Pd  0.5000  0.5000  0.5000
Pd  0.5000  0.5000  0.7487

Computed properties:
- Formation enthalpy at 0 K: -0.70 eV/atom

---

# 10
The following is a GGA-PBE calculation of crystalline TbTlPd at its relaxed geometry, from the Alexandria database.

abc: 5.0618 5.0618 6.1753
angles: 90.00 90.00 120.00
Sites, in units of the cell vectors:
Tb  0.3333  0.6667  0.2500
Tb  0.6667  0.3333  0.7500
Tl  0.0000  0.0000  0.0000
Tl  0.0000  0.0000  0.5000
Pd  0.3333  0.6667  0.7500
Pd  0.6667  0.3333  0.2500

Computed properties:
- Formation enthalpy at 0 K: -0.58 eV/atom
- Polymorph energy (0 for the lowest one): 72 meV/atom

---

# 11
The following is a GGA-PBE calculation of crystalline TbTlPd5 at its relaxed geometry, from the Alexandria database.

abc: 7.2906 7.2906 7.2906
angles: 131.93 99.05 100.04
Sites, in units of the cell vectors:
Tb  0.3538  0.1038  0.2500
Tb  0.6462  0.8962  0.7500
Tl  0.0000  0.0000  0.5000
Tl  0.0000  0.5000  0.0000
Pd  0.0000  0.2478  0.2478
Pd  0.0000  0.7522  0.7522
Pd  0.2451  0.7415  0.5037
Pd  0.2622  0.2586  0.0037
Pd  0.3205  0.5705  0.7500
Pd  0.5000  0.2478  0.7478
Pd  0.5000  0.7522  0.2522
Pd  0.6795  0.4295  0.2500
Pd  0.7378  0.7415  0.9963
Pd  0.7549  0.2586  0.4963

Computed properties:
- Formation enthalpy at 0 K: -0.40 eV/atom

---

# 12
The following is a GGA-PBE calculation of crystalline TbTlPd at its relaxed geometry, from the Alexandria database.

abc: 13.8400 3.7684 7.9230
angles: 90.00 90.00 90.00
Sites, in units of the cell vectors:
Tb  0.0506  0.0000  0.2236
Tb  0.2500  0.0000  0.8377
Tb  0.4494  0.0000  0.2236
Tb  0.5506  0.0000  0.7764
Tb  0.7500  0.0000  0.1623
Tb  0.9494  0.0000  0.7764
Tl  0.1109  0.5000  0.5708
Tl  0.2500  0.5000  0.1801
Tl  0.3891  0.5000  0.5708
Tl  0.6109  0.5000  0.4292
Tl  0.7500  0.5000  0.8199
Tl  0.8891  0.5000  0.4292
Pd  0.0937  0.5000  0.9352
Pd  0.2500  0.0000  0.4483
Pd  0.4063  0.5000  0.9352
Pd  0.5937  0.5000  0.0648
Pd  0.7500  0.0000  0.5517
Pd  0.9063  0.5000  0.0648

Computed properties:
- Formation enthalpy at 0 K: -0.64 eV/atom
- Polymorph energy (0 for the lowest one): 12 meV/atom

---

Among the records above, which one has the highest formation enthalpy at 0 K?
TbTl2Pd7

---

What is the formation enthalpy at 0 K in the tenth record?
-0.58 eV/atom